CuGeBF2: optimized geometry, GGA-PBE.

```
CuGeBF2
1.0
3.811 0.000 0.000
0.000 4.581 0.000
0.000 0.000 3.811
Cu F B Ge
1 2 1 1
Cartesian
0.000 0.000 0.000
1.906 0.000 0.000
0.000 0.000 1.906
0.000 2.290 0.000
1.906 2.290 1.906
```

Values from the calculation:
Formation energy without anion corrections (eV per atom): -0.12
Spin magnetization (μB/f.u.): 0.000
SG: P4/mmm

---

CuBNF2: optimized geometry, GGA-PBE.

```
CuBNF2
1.0
-2.044 -1.730 3.244
0.161 -3.750 -1.898
2.388 -0.519 1.228
F N Cu B
2 1 1 1
Cartesian
-1.022 -0.865 1.622
0.080 -1.875 -0.949
1.194 -0.260 0.614
0.252 -2.999 1.287
0.000 0.000 0.000
```

Values from the calculation:
Formation energy without anion corrections (eV per atom): -0.48
Spin magnetization (μB/f.u.): 1.034
SG: P4/mmm

---

CuBNF2: optimized geometry, GGA-PBE.

```
CuBNF2
1.0
4.065 0.000 0.000
0.000 4.065 0.000
0.000 0.000 3.730
N B F Cu
1 1 2 1
Cartesian
0.000 0.000 1.865
2.033 2.033 1.865
2.033 0.000 0.000
0.000 2.033 0.000
0.000 0.000 0.000
```

Values from the calculation:
Formation energy without anion corrections (eV per atom): 0.72
Spin magnetization (μB/f.u.): 2.250
SG: P4/mmm

---

Number 1: DOS at the Fermi energy 2.83 states/eV/cell, DFT total energy -3.951 eV per atom. Number 2: DOS at the Fermi energy 4.20 states/eV/cell, DFT total energy -5.051 eV per atom. Number 3: DOS at the Fermi energy 1.36 states/eV/cell, DFT total energy -3.847 eV per atom.